# HfCrHF2 | the Alexandria database | PBE+U | optimized geometry
# crystal system	tetragonal
# total magnetic moment	0.6094	μB per atom
# E_tot	-5.577	eV per atom
data_HfCrHF2
_chemical_formula_sum 'Hf1 Cr1 H1 F2'
_cell_length_a 4.448
_cell_length_b 4.448
_cell_length_c 3.319
_cell_angle_alpha 90.00
_cell_angle_beta 90.00
_cell_angle_gamma 90.00
_space_group_name_H-M_alt 'P 4/m m m'
_space_group_IT_number 123
_space_group_name_Hall '-P 4 2'
loop_
_atom_site_label
_atom_site_type_symbol
_atom_site_fract_x
_atom_site_fract_y
_atom_site_fract_z
_atom_site_occupancy
Hf1 Hf 0.000 0.000 0.000 1
Cr1 Cr 0.500 0.500 0.500 1
H1 H 0.500 0.500 0.000 1
F1 F 0.000 0.500 0.500 1